Record 1
The following is a DFT calculation (PBE) of a relaxed structure of AcInNi.

The structure in CIF format:
```
data_AcInNi
_symmetry_space_group_name_H-M 'F -4 3 m'
_symmetry_Int_Tables_number 216
_symmetry_space_group_name_Hall 'F -4 2 3'
_cell_length_a 6.8667
_cell_length_b 6.8667
_cell_length_c 6.8667
_cell_angle_alpha 90.00
_cell_angle_beta 90.00
_cell_angle_gamma 90.00
loop_
_atom_site_label
_atom_site_fract_x
_atom_site_fract_y
_atom_site_fract_z
Ac1 0.0000 0.0000 0.0000
In1 0.0000 0.0000 0.5000
Ni1 0.2500 0.2500 0.2500
```

Calculated values
The energy relative to the lowest polymorph listed for this composition is 0.1746 eV/atom.

***

Record 2
The following is a DFT calculation (PBE) of a relaxed structure of AcPaIn.

The structure in CIF format:
```
data_AcPaIn
_symmetry_space_group_name_H-M 'F -4 3 m'
_symmetry_Int_Tables_number 216
_symmetry_space_group_name_Hall 'F -4 2 3'
_cell_length_a 7.5879
_cell_length_b 7.5879
_cell_length_c 7.5879
_cell_angle_alpha 90.00
_cell_angle_beta 90.00
_cell_angle_gamma 90.00
loop_
_atom_site_label
_atom_site_fract_x
_atom_site_fract_y
_atom_site_fract_z
Ac1 0.0000 0.0000 0.0000
Pa1 0.0000 0.0000 0.5000
In1 0.2500 0.2500 0.2500
```

Calculated values
The energy relative to the lowest polymorph listed for this composition is 0.0000 eV/atom.

***

Record 3
The following is a DFT calculation (PBE) of a relaxed structure of Ac2InPd6.

The structure in CIF format:
```
data_Ac2InPd6
_symmetry_space_group_name_H-M 'C 1 2/m 1'
_symmetry_Int_Tables_number 12
_symmetry_space_group_name_Hall '-C 2y'
_cell_length_a 10.3009
_cell_length_b 5.9453
_cell_length_c 6.2418
_cell_angle_alpha 90.00
_cell_angle_beta 90.03
_cell_angle_gamma 90.00
loop_
_atom_site_label
_atom_site_fract_x
_atom_site_fract_y
_atom_site_fract_z
Ac1 0.1672 0.0000 0.2935
In1 0.0000 0.5000 0.5000
Pd1 0.0865 0.2391 0.8228
Pd2 0.1745 0.5000 0.1782
```

Calculated values
The value obtained for the total energy is -5.406 eV per atom.

***

Record 4
The following is a DFT calculation (PBE) of a relaxed structure of AcPmIn.

The structure in CIF format:
```
data_AcPmIn
_symmetry_space_group_name_H-M 'F -4 3 m'
_symmetry_Int_Tables_number 216
_symmetry_space_group_name_Hall 'F -4 2 3'
_cell_length_a 7.7418
_cell_length_b 7.7418
_cell_length_c 7.7418
_cell_angle_alpha 90.00
_cell_angle_beta 90.00
_cell_angle_gamma 90.00
loop_
_atom_site_label
_atom_site_fract_x
_atom_site_fract_y
_atom_site_fract_z
Ac1 0.0000 0.0000 0.0000
Pm1 0.0000 0.0000 0.5000
In1 0.2500 0.2500 0.2500
```

Calculated values
The energy relative to the lowest polymorph listed for this composition is 0.0000 eV/atom.

***

Record 5
The following is a DFT calculation (PBE) of a relaxed structure of AcPrIn.

The structure in CIF format:
```
data_AcPrIn
_symmetry_space_group_name_H-M 'F -4 3 m'
_symmetry_Int_Tables_number 216
_symmetry_space_group_name_Hall 'F -4 2 3'
_cell_length_a 7.7845
_cell_length_b 7.7845
_cell_length_c 7.7845
_cell_angle_alpha 90.00
_cell_angle_beta 90.00
_cell_angle_gamma 90.00
loop_
_atom_site_label
_atom_site_fract_x
_atom_site_fract_y
_atom_site_fract_z
Ac1 0.0000 0.0000 0.0000
Pr1 0.0000 0.0000 0.5000
In1 0.2500 0.2500 0.2500
```

Calculated values
The energy relative to the lowest polymorph listed for this composition is 0.0000 eV/atom.

***

Record 6
The following is a DFT calculation (PBE) of a relaxed structure of AcInPt4.

The structure in CIF format:
```
data_AcInPt4
_symmetry_space_group_name_H-M 'F -4 3 m'
_symmetry_Int_Tables_number 216
_symmetry_space_group_name_Hall 'F -4 2 3'
_cell_length_a 7.8305
_cell_length_b 7.8305
_cell_length_c 7.8305
_cell_angle_alpha 90.00
_cell_angle_beta 90.00
_cell_angle_gamma 90.00
loop_
_atom_site_label
_atom_site_fract_x
_atom_site_fract_y
_atom_site_fract_z
Ac1 0.0000 0.0000 0.0000
In1 0.2500 0.2500 0.7500
Pt1 0.1241 0.1241 0.3759
```

Calculated values
The value obtained for the total energy is -5.961 eV per atom.

***

Record 7
The following is a DFT calculation (PBE) of a relaxed structure of AcPuIn.

The structure in CIF format:
```
data_AcPuIn
_symmetry_space_group_name_H-M 'F -4 3 m'
_symmetry_Int_Tables_number 216
_symmetry_space_group_name_Hall 'F -4 2 3'
_cell_length_a 7.6686
_cell_length_b 7.6686
_cell_length_c 7.6686
_cell_angle_alpha 90.00
_cell_angle_beta 90.00
_cell_angle_gamma 90.00
loop_
_atom_site_label
_atom_site_fract_x
_atom_site_fract_y
_atom_site_fract_z
Ac1 0.0000 0.0000 0.0000
Pu1 0.0000 0.0000 0.5000
In1 0.2500 0.2500 0.2500
```

Calculated values
The value obtained for the total energy is -6.876 eV per atom.

***

Record 8
The following is a DFT calculation (PBE) of a relaxed structure of AcInRe.

The structure in CIF format:
```
data_AcInRe
_symmetry_space_group_name_H-M 'F -4 3 m'
_symmetry_Int_Tables_number 216
_symmetry_space_group_name_Hall 'F -4 2 3'
_cell_length_a 6.9118
_cell_length_b 6.9118
_cell_length_c 6.9118
_cell_angle_alpha 90.00
_cell_angle_beta 90.00
_cell_angle_gamma 90.00
loop_
_atom_site_label
_atom_site_fract_x
_atom_site_fract_y
_atom_site_fract_z
Ac1 0.0000 0.0000 0.0000
In1 0.0000 0.0000 0.5000
Re1 0.2500 0.2500 0.2500
```

Calculated values
The energy relative to the lowest polymorph listed for this composition is 0.0000 eV/atom.